Record 1
VASP calculation (PBE) on NaMo2S after structural relaxation.

Values from the calculation:
- ΔE_f (raw) (eV/atom) = 0.779
- symmetry = I-42d (122)

abc: 9.2919 9.2919 9.2919
angles: 151.08 151.08 41.36
Sites, in units of the cell vectors:
Na1 0.0000 0.0000 0.0000
Na2 0.7500 0.2500 0.5000
Mo1 0.3425 0.1250 0.7175
Mo2 0.3750 0.6575 0.7825
Mo3 0.4075 0.6250 0.2825
Mo4 0.8750 0.5925 0.2175
S1 0.2500 0.7500 0.5000
S2 0.5000 0.5000 0.0000

---

Record 2
VASP calculation (PBE) on YGaC3 after structural relaxation.

Values from the calculation:
- symmetry = Pm-3m (221)
- energy of formation (eV per atom) = 1.570
- offset from the most stable computed form (eV per atom) = 0.000

abc: 4.0193 4.0193 4.0193
angles: 90.00 90.00 90.00
Sites, in units of the cell vectors:
Y1 0.0000 0.0000 0.0000
Ga1 0.5000 0.5000 0.5000
C1 0.0000 0.5000 0.5000
C2 0.5000 0.0000 0.5000
C3 0.5000 0.5000 0.0000

---

Record 3
VASP calculation (PBE) on Rb3TlTe2O9 after structural relaxation.

Values from the calculation:
- ΔE_f (raw) (eV/atom) = -1.062
- symmetry = P-3m1 (164)

abc: 5.9364 5.9364 7.3272
angles: 90.00 90.00 120.00
Sites, in units of the cell vectors:
Rb1 0.0000 0.0000 0.0000
Rb2 0.3333 0.6667 0.6627
Rb3 0.6667 0.3333 0.3373
Tl1 0.0000 0.0000 0.5000
Te1 0.3333 0.6667 0.1662
Te2 0.6667 0.3333 0.8338
O1 0.0000 0.5000 0.0000
O2 0.1772 0.3544 0.3108
O3 0.1772 0.8228 0.3108
O4 0.3544 0.1772 0.6892
O5 0.5000 0.0000 0.0000
O6 0.5000 0.5000 0.0000
O7 0.6456 0.8228 0.3108
O8 0.8228 0.1772 0.6892
O9 0.8228 0.6456 0.6892

---

Record 4
VASP calculation (PBE) on Pm2PaSi after structural relaxation.

Values from the calculation:
- ΔE_f (raw) (eV/atom) = 0.216
- symmetry = Fm-3m (225)
- offset from the most stable computed form (eV per atom) = 0.298

abc: 5.2421 5.2421 5.2421
angles: 60.00 60.00 60.00
Sites, in units of the cell vectors:
Pm1 0.2500 0.2500 0.2500
Pm2 0.7500 0.7500 0.7500
Pa1 0.0000 0.0000 0.0000
Si1 0.5000 0.5000 0.5000

---

no.,density (g cm⁻³)
1,4.4
2,5.0
3,6.4
4,9.0